Here is a relaxed PmGa3Ag crystal from Alexandria. Energies are from PBE.

* energy of formation: -0.43 eV per atom
* crystal system: tetragonal
* total DFT energy (no corrections): -3.771 eV per atom
* offset from the most stable computed form: 0.00 eV/f.u.

Geometry as POSCAR:
```
PmGa3Ag
1.0
-2.122 2.122 5.635
2.122 -2.122 5.635
2.122 2.122 -5.635
Pm Ga Ag
1 3 1
direct
0.000 0.000 0.000 Pm
0.267 0.767 0.500 Ga
0.409 0.409 0.000 Ga
0.767 0.267 0.500 Ga
0.632 0.632 0.000 Ag
```

Here is a relaxed LaCe2Th crystal from Alexandria. Energies are from PBE.

* energy of formation: 0.06 eV per atom
* crystal system: tetragonal
* total DFT energy (no corrections): -5.992 eV per atom
* offset from the most stable computed form: 0.05 eV/f.u.

Geometry as POSCAR:
```
LaCe2Th
1.0
4.925 0.000 0.000
0.000 4.925 0.000
0.000 0.000 4.913
La Ce Th
1 2 1
direct
0.000 0.000 0.000 La
0.000 0.500 0.500 Ce
0.500 0.000 0.500 Ce
0.500 0.500 0.000 Th
```

Here is a relaxed MgTa2Mn crystal from Alexandria. Energies are from PBE.

* energy of formation: 0.26 eV per atom
* crystal system: tetragonal
* total DFT energy (no corrections): -8.360 eV per atom

Geometry as POSCAR:
```
MgTa2Mn
1.0
2.833 0.000 0.000
0.000 2.833 0.000
0.000 0.000 8.668
Mg Ta Mn
1 2 1
direct
0.000 0.000 0.000 Mg
0.500 0.500 0.281 Ta
0.500 0.500 0.719 Ta
0.000 0.000 0.500 Mn
```

Here is a relaxed SmHoGe2Pt5 crystal from Alexandria. Energies are from PBE.

* energy of formation: -0.90 eV per atom
* crystal system: tetragonal
* total DFT energy (no corrections): -6.318 eV per atom

Geometry as POSCAR:
```
SmHoGe2Pt5
1.0
4.288 0.000 0.000
0.000 4.288 0.000
0.000 0.000 9.040
Sm Ho Ge Pt
1 1 2 5
direct
0.000 0.000 0.000 Sm
0.000 0.000 0.500 Ho
0.500 0.500 0.366 Ge
0.500 0.500 0.634 Ge
0.000 0.500 0.230 Pt
0.000 0.500 0.770 Pt
0.500 0.000 0.230 Pt
0.500 0.000 0.770 Pt
0.500 0.500 0.000 Pt
```

Here is a relaxed Tb4PHC2 crystal from Alexandria. Energies are from PBE.

* crystal system: orthorhombic
* total DFT energy (no corrections): -6.406 eV per atom

Geometry as POSCAR:
```
Tb4PHC2
1.0
1.875 -6.089 0.000
1.875 6.089 0.000
0.000 0.000 12.616
Tb P H C
8 2 2 4
direct
0.000 0.000 0.000 Tb
0.000 0.000 0.500 Tb
0.266 0.734 0.610 Tb
0.266 0.734 0.890 Tb
0.440 0.560 0.250 Tb
0.560 0.440 0.750 Tb
0.734 0.266 0.110 Tb
0.734 0.266 0.390 Tb
0.114 0.886 0.250 P
0.886 0.114 0.750 P
0.153 0.847 0.750 H
0.847 0.153 0.250 H
0.366 0.634 0.060 C
0.366 0.634 0.440 C
0.634 0.366 0.560 C
0.634 0.366 0.940 C
```

Here is a relaxed PmDy4Tm2Sc crystal from Alexandria. Energies are from PBE.

* energy of formation: 0.44 eV per atom
* crystal system: monoclinic
* total DFT energy (no corrections): -4.359 eV per atom

Geometry as POSCAR:
```
PmDy4Tm2Sc
1.0
6.692 -6.539 0.000
6.692 6.539 0.000
-3.364 0.000 5.806
Pm Dy Tm Sc
2 8 4 2
direct
0.000 0.000 0.000 Pm
0.000 0.000 0.500 Pm
0.245 0.259 0.501 Dy
0.253 0.747 0.506 Dy
0.253 0.747 0.994 Dy
0.259 0.245 0.001 Dy
0.741 0.755 0.999 Dy
0.747 0.253 0.006 Dy
0.747 0.253 0.494 Dy
0.755 0.741 0.499 Dy
0.000 0.500 0.000 Tm
0.500 0.000 0.500 Tm
0.500 0.500 0.000 Tm
0.500 0.500 0.500 Tm
0.000 0.500 0.500 Sc
0.500 0.000 0.000 Sc
```

Here is a relaxed TlAg2PdF6 crystal from Alexandria. Energies are from PBE.

* crystal system: monoclinic
* total DFT energy (no corrections): -3.738 eV per atom
* E_form (uncorrected): -1.2889 eV per atom

Geometry as POSCAR:
```
TlAg2PdF6
1.0
5.801 -4.164 0.000
5.801 4.164 0.000
-2.724 0.000 6.782
Tl Ag Pd F
2 4 2 12
direct
0.248 0.752 0.750 Tl
0.752 0.248 0.250 Tl
0.250 0.251 0.749 Ag
0.251 0.250 0.249 Ag
0.749 0.750 0.751 Ag
0.750 0.749 0.251 Ag
0.250 0.750 0.250 Pd
0.750 0.250 0.750 Pd
0.022 0.176 0.936 F
0.091 0.591 0.358 F
0.176 0.022 0.436 F
0.324 0.479 0.064 F
0.409 0.909 0.142 F
0.479 0.324 0.564 F
0.521 0.676 0.436 F
0.591 0.091 0.858 F
0.676 0.521 0.936 F
0.824 0.978 0.564 F
0.909 0.409 0.642 F
0.978 0.824 0.064 F
```

Here is a relaxed Ca6Si6O19 crystal from Alexandria. Energies are from PBE.

* crystal system: triclinic
* total DFT energy (no corrections): -7.305 eV per atom
* E_form (uncorrected): -2.8290 eV per atom

Geometry as POSCAR:
```
Ca6Si6O19
1.0
7.059 0.000 0.000
-0.004 7.443 0.000
-0.027 -1.849 8.683
Ca Si O
6 6 19
direct
0.000 0.000 0.000 Ca
0.000 0.500 0.000 Ca
0.160 0.157 0.633 Ca
0.162 0.657 0.628 Ca
0.838 0.343 0.372 Ca
0.840 0.843 0.367 Ca
0.270 0.281 0.288 Si
0.270 0.862 0.287 Si
0.445 0.455 0.819 Si
0.555 0.545 0.181 Si
0.730 0.138 0.713 Si
0.730 0.719 0.712 Si
0.121 0.285 0.149 O
0.121 0.789 0.149 O
0.167 0.860 0.452 O
0.168 0.365 0.453 O
0.196 0.944 0.789 O
0.219 0.449 0.795 O
0.345 0.072 0.290 O
0.473 0.389 0.271 O
0.473 0.746 0.270 O
0.500 0.500 0.000 O
0.527 0.254 0.730 O
0.527 0.611 0.729 O
0.655 0.928 0.710 O
0.781 0.551 0.205 O
0.804 0.056 0.211 O
0.832 0.635 0.547 O
0.833 0.140 0.548 O
0.879 0.211 0.851 O
0.879 0.715 0.851 O
```

Here is a relaxed RePtCl2 crystal from Alexandria. Energies are from PBE.

* crystal system: tetragonal
* total DFT energy (no corrections): -4.326 eV per atom
* E_form (uncorrected): 1.2198 eV per atom
* offset from the most stable computed form: 4.80 eV/f.u.

Geometry as POSCAR:
```
RePtCl2
1.0
-2.045 2.045 3.826
2.045 -2.045 3.826
2.045 2.045 -3.826
Re Pt Cl
1 1 2
direct
0.000 0.000 0.000 Re
0.500 0.500 0.000 Pt
0.250 0.750 0.500 Cl
0.750 0.250 0.500 Cl
```

Here is a relaxed Mn2Nb2Se7 crystal from Alexandria. Energies are from PBE.

* crystal system: monoclinic
* total DFT energy (no corrections): -6.144 eV per atom
* E_form (uncorrected): -0.4281 eV per atom

Geometry as POSCAR:
```
Mn2Nb2Se7
1.0
3.662 -5.574 0.000
3.662 5.574 0.000
-0.855 0.000 6.798
Mn Nb Se
2 2 7
direct
0.235 0.235 0.167 Mn
0.765 0.765 0.833 Mn
0.144 0.856 0.500 Nb
0.856 0.144 0.500 Nb
0.044 0.457 0.283 Se
0.113 0.113 0.779 Se
0.457 0.044 0.283 Se
0.500 0.500 0.000 Se
0.543 0.956 0.717 Se
0.887 0.887 0.221 Se
0.956 0.543 0.717 Se
```

Here is a relaxed CsMgTa2 crystal from Alexandria. Energies are from PBE.

* energy of formation: 1.64 eV per atom
* crystal system: tetragonal
* total DFT energy (no corrections): -4.894 eV per atom

Geometry as POSCAR:
```
CsMgTa2
1.0
-2.107 2.107 11.034
2.107 -2.107 11.034
2.107 2.107 -11.034
Cs Mg Ta
2 2 4
direct
0.000 0.000 0.000 Cs
0.750 0.250 0.500 Cs
0.250 0.750 0.500 Mg
0.500 0.500 0.000 Mg
0.154 0.125 0.529 Ta
0.375 0.846 0.971 Ta
0.596 0.625 0.471 Ta
0.875 0.404 0.029 Ta
```